1.
Ba5Cd2Sb5F: single point on PBEsol structure, meta-GGA SCAN. Values from VASP.

Crystal system ... orthorhombic
Calculated density ... 5.897 g/cm3
Raw formation energy ... -1.35 eV/atom
Energy ... -931.992 eV/cell

The structure in Quantum ESPRESSO input format:
```
&SYSTEM
  ibrav = 0, nat = 26, ntyp = 4
/
ATOMIC_SPECIES
Ba 137.33 Ba.upf
Cd 112.41 Cd.upf
Sb 121.76 Sb.upf
F 19.00 F.upf
CELL_PARAMETERS angstrom
2.4514 -11.5551 0.0000
2.4514 11.5551 0.0000
0.0000 0.0000 15.3030
ATOMIC_POSITIONS angstrom
Ba 0.0000 0.0000 0.0000
Ba 0.0000 0.0000 7.6515
Ba 2.4514 9.3534 11.4773
Ba 2.4514 9.2122 3.8258
Ba 2.4514 5.2027 1.8040
Ba 2.4514 5.2027 5.8475
Ba 2.4514 -5.2027 9.4556
Ba 2.4514 -5.2027 13.4990
Ba 2.4514 -9.2122 11.4773
Ba 2.4514 -9.3534 3.8258
Cd 2.4514 3.0791 9.0203
Cd 2.4514 3.0791 13.9342
Cd 2.4514 -3.0791 1.3688
Cd 2.4514 -3.0791 6.2827
Sb 2.4514 8.1178 7.7995
Sb 2.4514 8.1178 15.1550
Sb 2.4514 4.8034 11.4773
Sb 2.4514 0.2291 10.0612
Sb 2.4514 0.2291 12.8933
Sb 2.4514 -0.2291 2.4097
Sb 2.4514 -0.2291 5.2418
Sb 2.4514 -4.8034 3.8258
Sb 2.4514 -8.1178 0.1480
Sb 2.4514 -8.1178 7.5035
F 2.4514 3.4607 3.8258
F 2.4514 -3.4607 11.4773
```

2.
FeMoPt2: single point on PBEsol structure, meta-GGA SCAN. Values from VASP.

Formation energy from the elements ... -0.383 eV/atom
Crystal system ... orthorhombic
Calculated density ... 15.980 g/cm3
Energy ... -194.933 eV/cell

The structure in Quantum ESPRESSO input format:
```
&SYSTEM
  ibrav = 0, nat = 4, ntyp = 3
/
ATOMIC_SPECIES
Fe 55.84 Fe.upf
Mo 95.94 Mo.upf
Pt 195.08 Pt.upf
CELL_PARAMETERS angstrom
2.6996 0.0000 0.0000
0.0000 3.9133 0.0000
0.0000 0.0000 5.3309
ATOMIC_POSITIONS angstrom
Fe 0.0000 0.0000 0.0000
Mo 0.0000 0.0000 2.6654
Pt 1.3498 1.9567 1.3208
Pt 1.3498 1.9567 4.0101
```

3.
PrBS3: single point on PBEsol structure, meta-GGA SCAN. Values from VASP.

Crystal system ... orthorhombic
Calculated density ... 4.148 g/cm3
Raw formation energy ... -1.48 eV/atom
Energy ... -348.195 eV/cell

The structure in Quantum ESPRESSO input format:
```
&SYSTEM
  ibrav = 0, nat = 20, ntyp = 3
/
ATOMIC_SPECIES
Pr 140.91 Pr.upf
B 10.81 B.upf
S 32.06 S.upf
CELL_PARAMETERS angstrom
7.5620 0.0000 0.0000
0.0000 5.9206 0.0000
0.0000 0.0000 8.8674
ATOMIC_POSITIONS angstrom
Pr 0.8633 0.4256 0.0000
Pr 2.9177 3.3859 4.4337
Pr 4.6443 2.5347 0.0000
Pr 6.6987 5.4949 4.4337
B 1.1119 3.5312 7.3484
B 2.6691 0.5709 2.9147
B 4.8929 5.3497 7.3484
B 6.4501 2.3894 2.9147
S 7.5604 2.4155 4.3369
S 0.0017 3.5051 8.7706
S 1.3212 4.9766 6.2644
S 1.5153 5.1136 2.6313
S 2.2657 2.1533 7.0650
S 2.4598 2.0163 1.8307
S 3.7794 0.5448 4.3369
S 3.7827 5.3758 8.7706
S 5.1022 3.9043 6.2644
S 5.2964 3.7672 2.6313
S 6.0467 0.8070 7.0650
S 6.2409 0.9440 1.8307
```

4.
Y2SiSe: single point on PBEsol structure, meta-GGA SCAN. Values from VASP.

Crystal system ... tetragonal
Polymorph energy (0 for the lowest one) ... 397.6 meV per atom
Calculated density ... 5.518 g/cm3
Raw formation energy ... -1.09 eV/atom
Energy ... -90.159 eV/cell

The structure in Quantum ESPRESSO input format:
```
&SYSTEM
  ibrav = 0, nat = 4, ntyp = 3
/
ATOMIC_SPECIES
Y 88.91 Y.upf
Si 28.09 Si.upf
Se 78.96 Se.upf
CELL_PARAMETERS angstrom
3.3969 0.0000 0.0000
0.0000 3.3969 0.0000
0.0000 0.0000 7.4292
ATOMIC_POSITIONS angstrom
Y 0.0000 0.0000 1.8537
Y 0.0000 0.0000 5.5756
Si 1.6984 1.6984 0.0000
Se 1.6984 1.6984 3.7146
```

5.
TaMo: single point on PBEsol structure, meta-GGA SCAN. Values from VASP.

Formation energy from the elements ... -0.119 eV/atom
Crystal system ... trigonal
Calculated density ... 14.112 g/cm3
Energy ... -305.119 eV/cell

The structure in Quantum ESPRESSO input format:
```
&SYSTEM
  ibrav = 0, nat = 6, ntyp = 2
/
ATOMIC_SPECIES
Ta 180.95 Ta.upf
Mo 95.94 Mo.upf
CELL_PARAMETERS angstrom
4.5448 0.0000 0.0000
-2.2724 3.9359 0.0000
0.0000 0.0000 5.4641
ATOMIC_POSITIONS angstrom
Ta 0.0000 0.0000 0.0000
Ta 0.0000 2.6239 0.9349
Ta 2.2724 1.3120 4.5293
Mo 0.0000 0.0000 2.7321
Mo 0.0000 2.6239 3.6366
Mo 2.2724 1.3120 1.8276
```

6.
ZrCr2Si: single point on PBEsol structure, meta-GGA SCAN. Values from VASP.

Crystal system ... monoclinic
Calculated density ... 6.696 g/cm3
Raw formation energy ... 0.20 eV/atom
Energy ... -153.386 eV/cell

The structure in Quantum ESPRESSO input format:
```
&SYSTEM
  ibrav = 0, nat = 8, ntyp = 3
/
ATOMIC_SPECIES
Zr 91.22 Zr.upf
Cr 52.00 Cr.upf
Si 28.09 Si.upf
CELL_PARAMETERS angstrom
5.3949 0.0000 0.0000
0.0000 8.3818 0.0000
-1.1089 0.0000 2.4491
ATOMIC_POSITIONS angstrom
Zr 0.0000 0.0000 0.0000
Zr 2.6975 4.1909 0.0000
Cr 0.7943 2.0954 1.2245
Cr 0.7943 6.2863 1.2245
Cr 3.4917 2.0954 1.2245
Cr 3.4917 6.2863 1.2245
Si 0.0000 4.1909 0.0000
Si 2.6975 0.0000 0.0000
```

7.
GaGePb2S: single point on PBEsol structure, meta-GGA SCAN. Values from VASP.

Crystal system ... tetragonal
Calculated density ... 7.251 g/cm3
Raw formation energy ... 0.50 eV/atom
Energy ... -194.107 eV/cell

The structure in Quantum ESPRESSO input format:
```
&SYSTEM
  ibrav = 0, nat = 5, ntyp = 4
/
ATOMIC_SPECIES
Ga 69.72 Ga.upf
Ge 72.64 Ge.upf
Pb 207.20 Pb.upf
S 32.06 S.upf
CELL_PARAMETERS angstrom
5.5336 0.0000 0.0000
0.0000 5.5336 0.0000
0.0000 0.0000 4.4039
ATOMIC_POSITIONS angstrom
Ga 0.0000 0.0000 0.0000
Ge 2.7668 2.7668 2.2019
Pb 0.0000 2.7668 0.0000
Pb 2.7668 0.0000 0.0000
S 0.0000 0.0000 2.2019
```

8.
Sr3Li3Ni4N4: single point on PBEsol structure, meta-GGA SCAN. Values from VASP.

Crystal system ... orthorhombic
Calculated density ... 4.162 g/cm3
Raw formation energy ... -0.59 eV/atom
Energy ... -184.170 eV/cell

The structure in Quantum ESPRESSO input format:
```
&SYSTEM
  ibrav = 0, nat = 14, ntyp = 4
/
ATOMIC_SPECIES
Sr 87.62 Sr.upf
Li 6.94 Li.upf
Ni 58.69 Ni.upf
N 14.01 N.upf
CELL_PARAMETERS angstrom
-1.9902 3.4829 8.2667
1.9902 -3.4829 8.2667
1.9902 3.4829 -8.2667
ATOMIC_POSITIONS angstrom
Sr 0.0000 0.0000 0.0000
Sr 0.0000 0.0000 3.6096
Sr 0.0000 0.0000 12.9238
Li 1.9902 0.0000 6.3506
Li 0.0000 0.0000 8.2667
Li 0.0000 3.4829 1.9161
Ni 1.9902 1.7409 -1.9772
Ni 1.9902 1.7409 1.9772
Ni 0.0000 1.7420 6.2895
Ni 0.0000 1.7420 10.2439
N 1.9902 0.0000 1.9231
N 0.0000 0.0000 6.2706
N 0.0000 0.0000 10.2628
N 0.0000 3.4829 6.3436
```

9.
Mg2AlTeAs: single point on PBEsol structure, meta-GGA SCAN. Values from VASP.

Crystal system ... tetragonal
Calculated density ... 3.158 g/cm3
Raw formation energy ... 0.57 eV/atom
Energy ... -72.275 eV/cell

The structure in Quantum ESPRESSO input format:
```
&SYSTEM
  ibrav = 0, nat = 5, ntyp = 4
/
ATOMIC_SPECIES
Mg 24.30 Mg.upf
Al 26.98 Al.upf
Te 127.60 Te.upf
As 74.92 As.upf
CELL_PARAMETERS angstrom
5.2594 0.0000 0.0000
0.0000 5.2594 0.0000
0.0000 0.0000 5.2875
ATOMIC_POSITIONS angstrom
Mg 0.0000 2.6297 0.0000
Mg 2.6297 0.0000 0.0000
Al 0.0000 0.0000 2.6438
Te 0.0000 0.0000 0.0000
As 2.6297 2.6297 2.6438
```

10.
U2Co3Si5: single point on PBEsol structure, meta-GGA SCAN. Values from VASP.

Crystal system ... orthorhombic
Calculated density ... 9.274 g/cm3
Raw formation energy ... -0.42 eV/atom
Energy ... -626.459 eV/cell

The structure in Quantum ESPRESSO input format:
```
&SYSTEM
  ibrav = 0, nat = 20, ntyp = 3
/
ATOMIC_SPECIES
U 238.03 U.upf
Co 58.93 Co.upf
Si 28.09 Si.upf
CELL_PARAMETERS angstrom
-4.7365 5.4456 2.7536
4.7365 -5.4456 2.7536
4.7365 5.4456 -2.7536
ATOMIC_POSITIONS angstrom
U 2.2072 1.4809 0.0000
U 2.2072 -1.4809 2.7536
U 2.5293 6.9265 0.0000
U 2.5293 3.9647 2.7536
Co 3.6495 -3.9336 2.7536
Co 4.7365 0.0000 1.3768
Co 3.6495 3.9336 0.0000
Co 1.0870 1.5120 2.7536
Co 0.0000 5.4456 1.3768
Co 1.0870 9.3792 0.0000
Si 4.7365 -2.4873 1.3768
Si 6.1953 1.1120 0.0000
Si 0.0000 0.0000 1.3768
Si 1.4588 4.3336 0.0000
Si 4.7365 2.4873 1.3768
Si 0.0000 2.9583 1.3768
Si 3.2777 1.1120 2.7536
Si 0.0000 0.0000 4.1304
Si -1.4588 4.3336 2.7536
Si 0.0000 7.9329 1.3768
```

11.
Sr2HgW: single point on PBEsol structure, meta-GGA SCAN. Values from VASP.

Formation energy from the elements ... 0.820 eV/atom
Crystal system ... tetragonal
Calculated density ... 8.715 g/cm3
Energy ... -179.124 eV/cell

The structure in Quantum ESPRESSO input format:
```
&SYSTEM
  ibrav = 0, nat = 4, ntyp = 3
/
ATOMIC_SPECIES
Sr 87.62 Sr.upf
Hg 200.59 Hg.upf
W 183.84 W.upf
CELL_PARAMETERS angstrom
3.2379 0.0000 0.0000
0.0000 3.2379 0.0000
0.0000 0.0000 10.1723
ATOMIC_POSITIONS angstrom
Sr 0.0000 0.0000 0.0000
Sr 1.6189 1.6189 3.6654
Hg 1.6189 1.6189 7.8269
W 0.0000 0.0000 6.0187
```

12.
TaFeCo2: single point on PBEsol structure, meta-GGA SCAN. Values from VASP.

Formation energy from the elements ... 0.167 eV/atom
Crystal system ... trigonal
Polymorph energy (0 for the lowest one) ... 356.9 meV per atom
Calculated density ... 11.593 g/cm3
Energy ... -355.956 eV/cell

The structure in Quantum ESPRESSO input format:
```
&SYSTEM
  ibrav = 0, nat = 12, ntyp = 3
/
ATOMIC_SPECIES
Ta 180.95 Ta.upf
Fe 55.84 Fe.upf
Co 58.93 Co.upf
CELL_PARAMETERS angstrom
2.6930 0.0000 0.0000
-1.3465 2.3322 0.0000
0.0000 0.0000 24.2660
ATOMIC_POSITIONS angstrom
Ta 0.0000 0.0000 0.0000
Ta 0.0000 1.5548 16.1773
Ta 1.3465 0.7774 8.0887
Fe 0.0000 0.0000 12.1330
Fe 0.0000 1.5548 4.0443
Fe 1.3465 0.7774 20.2216
Co 0.0000 0.0000 5.8977
Co 0.0000 0.0000 18.3682
Co 0.0000 1.5548 10.2796
Co 0.0000 1.5548 22.0751
Co 1.3465 0.7774 2.1909
Co 1.3465 0.7774 13.9864
```

13.
Al5Ag7: single point on PBEsol structure, meta-GGA SCAN. Values from VASP.

Formation energy from the elements ... -0.069 eV/atom
Crystal system ... monoclinic
Polymorph energy (0 for the lowest one) ... 25.8 meV per atom
Calculated density ... 7.617 g/cm3
Energy ... -259.159 eV/cell

The structure in Quantum ESPRESSO input format:
```
&SYSTEM
  ibrav = 0, nat = 12, ntyp = 2
/
ATOMIC_SPECIES
Al 26.98 Al.upf
Ag 107.87 Ag.upf
CELL_PARAMETERS angstrom
8.3653 0.0000 0.0000
0.0000 2.8992 0.0000
-2.9482 0.0000 8.0001
ATOMIC_POSITIONS angstrom
Al 0.0000 0.0000 0.0000
Al 7.4045 0.0000 2.6019
Al -1.9874 0.0000 5.3982
Al -0.5275 1.4496 7.3687
Al 5.9446 1.4496 0.6313
Ag 0.2161 1.4496 4.6258
Ag 1.2861 1.4496 1.9230
Ag 1.6996 0.0000 6.6562
Ag 2.7086 0.0000 4.0000
Ag 3.7175 0.0000 1.3438
Ag 4.1311 1.4496 6.0771
Ag 5.2010 1.4496 3.3743
```

14.
AsIrO2: single point on PBEsol structure, meta-GGA SCAN. Values from VASP.

Crystal system ... trigonal
Calculated density ... 9.389 g/cm3
Raw formation energy ... -0.44 eV/atom
Energy ... -316.479 eV/cell

The structure in Quantum ESPRESSO input format:
```
&SYSTEM
  ibrav = 0, nat = 12, ntyp = 3
/
ATOMIC_SPECIES
As 74.92 As.upf
Ir 192.22 Ir.upf
O 16.00 O.upf
CELL_PARAMETERS angstrom
3.1548 0.0000 0.0000
-1.5774 2.7321 0.0000
0.0000 0.0000 18.4142
ATOMIC_POSITIONS angstrom
As 0.0000 0.0000 0.0000
As 0.0000 1.8214 12.2761
As 1.5774 0.9107 6.1380
Ir 0.0000 0.0000 9.2071
Ir 0.0000 1.8214 3.0690
Ir 1.5774 0.9107 15.3451
O 0.0000 0.0000 2.1344
O 0.0000 0.0000 16.2798
O 0.0000 1.8214 10.1417
O 0.0000 1.8214 14.4105
O 1.5774 0.9107 4.0037
O 1.5774 0.9107 8.2725
```

15.
Zr5In3Cu: single point on PBEsol structure, meta-GGA SCAN. Values from VASP.

Formation energy from the elements ... -0.382 eV/atom
Crystal system ... hexagonal
Calculated density ... 7.680 g/cm3
Energy ... -544.574 eV/cell

The structure in Quantum ESPRESSO input format:
```
&SYSTEM
  ibrav = 0, nat = 18, ntyp = 3
/
ATOMIC_SPECIES
Zr 91.22 Zr.upf
In 114.82 In.upf
Cu 63.55 Cu.upf
CELL_PARAMETERS angstrom
8.6217 0.0000 0.0000
-4.3108 7.4666 0.0000
0.0000 0.0000 5.8046
ATOMIC_POSITIONS angstrom
Zr -1.1467 1.9861 1.4512
Zr -3.1642 5.4805 4.3535
Zr 2.2934 0.0000 1.4512
Zr 1.1467 1.9861 4.3535
Zr 0.0000 4.9777 0.0000
Zr 0.0000 4.9777 2.9023
Zr 4.3108 2.4889 0.0000
Zr 4.3108 2.4889 2.9023
Zr 6.3283 0.0000 4.3535
Zr 3.1642 5.4805 1.4512
In -1.6446 2.8486 4.3535
In -2.6662 4.6180 1.4512
In 3.2893 0.0000 4.3535
In 1.6446 2.8486 1.4512
In 5.3324 0.0000 1.4512
In 2.6662 4.6180 4.3535
Cu 0.0000 0.0000 0.0000
Cu 0.0000 0.0000 2.9023
```

16.
Cr2ReW: single point on PBEsol structure, meta-GGA SCAN. Values from VASP.

Formation energy from the elements ... 0.051 eV/atom
Crystal system ... monoclinic
Calculated density ... 14.717 g/cm3
Energy ... -177.349 eV/cell

The structure in Quantum ESPRESSO input format:
```
&SYSTEM
  ibrav = 0, nat = 4, ntyp = 3
/
ATOMIC_SPECIES
Cr 52.00 Cr.upf
Re 186.21 Re.upf
W 183.84 W.upf
CELL_PARAMETERS angstrom
2.6220 0.0000 0.0000
0.0000 4.1432 0.0000
-0.8542 0.0000 4.9235
ATOMIC_POSITIONS angstrom
Cr 0.4243 0.0000 1.2121
Cr 1.3435 0.0000 3.7114
Re 1.3110 2.0716 0.0000
W -0.4271 2.0716 2.4618
```

17.
SiSbRhI2: single point on PBEsol structure, meta-GGA SCAN. Values from VASP.

Crystal system ... tetragonal
Calculated density ... 5.931 g/cm3
Raw formation energy ... 1.11 eV/atom
Energy ... -148.997 eV/cell

The structure in Quantum ESPRESSO input format:
```
&SYSTEM
  ibrav = 0, nat = 5, ntyp = 4
/
ATOMIC_SPECIES
Si 28.09 Si.upf
Sb 121.76 Sb.upf
Rh 102.91 Rh.upf
I 126.90 I.upf
CELL_PARAMETERS angstrom
5.2233 0.0000 0.0000
0.0000 5.2233 0.0000
0.0000 0.0000 5.1980
ATOMIC_POSITIONS angstrom
Si 0.0000 0.0000 0.0000
Sb 0.0000 0.0000 2.5990
Rh 2.6116 2.6116 2.5990
I 0.0000 2.6116 0.0000
I 2.6116 0.0000 0.0000
```

18.
MnO2: single point on PBEsol structure, meta-GGA SCAN. Values from VASP.

Crystal system ... orthorhombic
Calculated density ... 4.898 g/cm3
Raw formation energy ... -2.10 eV/atom
Energy ... -148.098 eV/cell

The structure in Quantum ESPRESSO input format:
```
&SYSTEM
  ibrav = 0, nat = 12, ntyp = 2
/
ATOMIC_SPECIES
Mn 54.94 Mn.upf
O 16.00 O.upf
CELL_PARAMETERS angstrom
8.9493 0.0000 0.0000
0.0000 2.8406 0.0000
0.0000 0.0000 4.6379
ATOMIC_POSITIONS angstrom
Mn 1.2073 0.7102 0.2785
Mn 3.2674 2.1305 2.5975
Mn 5.6819 0.7102 2.0405
Mn 7.7420 2.1305 4.3594
O 0.1797 2.1305 1.0076
O 2.1496 2.1305 4.1332
O 2.3251 0.7102 1.8142
O 4.2950 0.7102 3.3265
O 4.6543 2.1305 1.3114
O 6.6242 2.1305 2.8237
O 6.7997 0.7102 0.5047
O 8.7696 0.7102 3.6304
```

19.
Mg3ZnRe: single point on PBEsol structure, meta-GGA SCAN. Values from VASP.

Formation energy from the elements ... 1.150 eV/atom
Crystal system ... cubic
Calculated density ... 4.264 g/cm3
Energy ... -93.784 eV/cell

The structure in Quantum ESPRESSO input format:
```
&SYSTEM
  ibrav = 0, nat = 5, ntyp = 3
/
ATOMIC_SPECIES
Mg 24.30 Mg.upf
Zn 65.41 Zn.upf
Re 186.21 Re.upf
CELL_PARAMETERS angstrom
5.0184 0.0000 0.0000
0.0000 5.0184 0.0000
0.0000 0.0000 5.0184
ATOMIC_POSITIONS angstrom
Mg 0.0000 0.0000 2.5092
Mg 0.0000 2.5092 0.0000
Mg 2.5092 0.0000 0.0000
Zn 2.5092 2.5092 2.5092
Re 0.0000 0.0000 0.0000
```

20.
BeHgSb: single point on PBEsol structure, meta-GGA SCAN. Values from VASP.

Crystal system ... cubic
Polymorph energy (0 for the lowest one) ... 0.0 meV per atom
Calculated density ... 9.095 g/cm3
Raw formation energy ... 0.24 eV/atom
Energy ... -436.219 eV/cell

The structure in Quantum ESPRESSO input format:
```
&SYSTEM
  ibrav = 0, nat = 12, ntyp = 3
/
ATOMIC_SPECIES
Be 9.01 Be.upf
Hg 200.59 Hg.upf
Sb 121.76 Sb.upf
CELL_PARAMETERS angstrom
6.2316 0.0000 0.0000
0.0000 6.2316 0.0000
0.0000 0.0000 6.2316
ATOMIC_POSITIONS angstrom
Be 0.0000 0.0000 0.0000
Be 0.0000 3.1158 3.1158
Be 3.1158 0.0000 3.1158
Be 3.1158 3.1158 0.0000
Hg 1.5579 1.5579 1.5579
Hg 1.5579 4.6737 4.6737
Hg 4.6737 1.5579 4.6737
Hg 4.6737 4.6737 1.5579
Sb 1.5579 1.5579 4.6737
Sb 1.5579 4.6737 1.5579
Sb 4.6737 1.5579 1.5579
Sb 4.6737 4.6737 4.6737
```